## Ta2PbAu (GGA-PBE)

Data for a relaxed structure of Ta2PbAu.

Fermi-level density of states: 2.17 states/eV/cell
Symmetry: Cmm2 (35)
E_tot: -7.492 eV per atom
Crystal system: orthorhombic

a = 3.0241 Å, b = 3.0241 Å, c = 9.4127 Å
α = 90.00°, β = 90.00°, γ = 106.69°
Element x y z (fractional)
Ta 0.0000 0.0000 0.0000
Ta 0.5000 0.5000 0.2267
Pb 0.5000 0.5000 0.7340
Au 0.0000 0.0000 0.4518